Record 1
This record from the Alexandria database describes ScNbO2F after structural relaxation. The functional is GGA-PBEsol.

Properties
Total moment = 1.37 Bohr magnetons per cell
Formation energy without anion corrections = -1.912 eV/atom

Unit cell a=4.013 b=4.013 c=4.152 alpha=90.00 beta=90.00 gamma=90.00
Space group P4/mmm (No. 123)
Unique sites:
Sc: 0.000 0.000 0.000 [1 per cell]
Nb: 0.500 0.500 0.500 [1 per cell]
O: 0.000 0.500 0.500 [2 per cell]
F: 0.500 0.500 0.000 [1 per cell]



Record 2
This record from the Alexandria database describes TcPSe2N after structural relaxation. The functional is GGA-PBEsol.

Properties
Total moment = 0.00 Bohr magnetons per cell
Formation energy without anion corrections = 0.489 eV/atom

Unit cell a=4.911 b=4.911 c=3.636 alpha=90.00 beta=90.00 gamma=90.00
Space group P4/mmm (No. 123)
Unique sites:
Tc: 0.000 0.000 0.000 [1 per cell]
P: 0.500 0.500 0.500 [1 per cell]
Se: 0.000 0.500 0.000 [2 per cell]
N: 0.000 0.000 0.500 [1 per cell]



total moment of number 1 (ScNbO2F)?
1.37 Bohr magnetons per cell



Please write out number 1 again, unchanged.
This record from the Alexandria database describes ScNbO2F after structural relaxation. The functional is GGA-PBEsol.

Properties
Total moment = 1.37 Bohr magnetons per cell
Formation energy without anion corrections = -1.912 eV/atom

Unit cell a=4.013 b=4.013 c=4.152 alpha=90.00 beta=90.00 gamma=90.00
Space group P4/mmm (No. 123)
Unique sites:
Sc: 0.000 0.000 0.000 [1 per cell]
Nb: 0.500 0.500 0.500 [1 per cell]
O: 0.000 0.500 0.500 [2 per cell]
F: 0.500 0.500 0.000 [1 per cell]



Which value of total moment does entry 1 give?
1.37 Bohr magnetons per cell